1.
LaCuSb2 after structural relaxation, computed with PBEsol.

a = 4.3708 Å, b = 4.2181 Å, c = 5.8665 Å
α = 90.00°, β = 104.25°, γ = 90.00°
Space group Pm (No. 6)
Asymmetric unit:
La1 0.0000 0.0000 0.0000 x1
Cu1 0.4155 0.5000 0.8071 x1
Sb1 0.3295 0.0000 0.5534 x1
Sb2 0.5865 0.5000 0.2548 x1

Properties
Total magnetization, μB/cell: 0.0
Raw formation energy, kcal/mol of atoms: -8.28
DFT total energy, eV per atom: -5.058

2.
ZnPt2Rh after structural relaxation, computed with PBEsol.

a = 8.9973 Å, b = 2.7325 Å, c = 4.6832 Å
α = 90.00°, β = 100.96°, γ = 90.00°
Space group Cm (No. 8)
Asymmetric unit:
Zn1 0.0000 0.0000 0.0000 x2
Pt1 0.2529 0.0000 0.7612 x2
Pt2 0.4960 0.0000 0.4927 x2
Rh1 0.2434 0.5000 0.2575 x2

Properties
Total magnetization, μB/cell: 0.0
Formation energy from the elements, meV per atom: -254
DFT total energy, eV per atom: -6.166